Entry from Alexandria via LeMat-Bulk: Li2PaVO8 after structural relaxation (GGA+U).

Output
Size of the total moment = 2.24 μB/f.u.
DOS(E_F) = 4.68 states/eV/cell
Total energy = -6.4165 eV/atom

a = 4.4274 Å, b = 4.4274 Å, c = 6.9462 Å
α = 90.00°, β = 90.00°, γ = 120.00°
With the nearest neighbours (Å) after each atom.
Space group P-3m1 (No. 164)
Symmetry-distinct sites (fractional):
1 Li 0.3333 0.6667 0.3053 x2  1 O 1.85
2 Pa 0.0000 0.0000 0.0000 x1  12 O 2.55-2.57
3 V 0.0000 0.0000 0.5000 x1  6 O 1.86
4 O 0.1730 0.3459 0.6871 x6  1 V 1.86
5 O 0.3333 0.6667 0.0395 x2  1 Li 1.85